[1]
Entry from Alexandria: a geometry-optimized YMgIr structure (PBE).

Summary:
The energy of formation from the pure elements is -0.677 eV per atom. The calculation puts the size of the total moment at 0.00 Bohr magnetons per cell.

a b c (Å): 7.100 4.118 8.533
angles (deg): 90.00 90.00 90.00
Space group Pnma (No. 62)
Unique sites:
Y: 0.039 0.250 0.174 (multiplicity 4)
Mg: 0.135 0.250 0.559 (multiplicity 4)
Ir: 0.248 0.750 0.370 (multiplicity 4)

[2]
Entry from Alexandria: a geometry-optimized YMg2Ir structure (PBE).

Summary:
The energy of formation from the pure elements is -0.297 eV per atom. The calculation puts the size of the total moment at 0.00 Bohr magnetons per cell.

a b c (Å): 4.202 4.202 9.180
angles (deg): 90.00 90.00 90.00
Space group I4/mmm (No. 139)
Unique sites:
Y: 0.000 0.000 0.000 (multiplicity 2)
Mg: 0.000 0.500 0.250 (multiplicity 4)
Ir: 0.000 0.000 0.500 (multiplicity 2)

[3]
Entry from Alexandria: a geometry-optimized YMg2Ir structure (PBE).

Summary:
The energy of formation from the pure elements is -0.213 eV per atom. The calculation puts the size of the total moment at 0.00 Bohr magnetons per cell.

a b c (Å): 3.232 4.749 5.563
angles (deg): 90.00 104.80 90.00
Space group P2/m (No. 10)
Unique sites:
Y: 0.000 0.000 0.000 (multiplicity 1)
Mg: 0.339 0.500 0.715 (multiplicity 2)
Ir: 0.500 0.000 0.500 (multiplicity 1)

[4]
Entry from Alexandria: a geometry-optimized YMg3Ir structure (PBE).

Summary:
The energy of formation from the pure elements is -0.369 eV per atom. The calculation puts the size of the total moment at 0.00 Bohr magnetons per cell.

a b c (Å): 5.437 5.813 7.356
angles (deg): 90.00 107.14 90.00
Space group P2_1/m (No. 11)
Unique sites:
Y: 0.111 0.250 0.407 (multiplicity 2)
Mg: 0.022 0.250 0.888 (multiplicity 2)
Mg: 0.496 0.502 0.792 (multiplicity 4)
Ir: 0.325 0.750 0.463 (multiplicity 2)

[5]
Entry from Alexandria: a geometry-optimized YMg2Ir structure (PBE).

Summary:
The energy of formation from the pure elements is -0.159 eV per atom. The calculation puts the size of the total moment at 0.11 Bohr magnetons per cell.

a b c (Å): 3.148 4.097 6.227
angles (deg): 90.00 90.00 90.00
Space group Pmmm (No. 47)
Unique sites:
Y: 0.000 0.000 0.000 (multiplicity 1)
Mg: 0.500 0.500 0.295 (multiplicity 2)
Ir: 0.000 0.000 0.500 (multiplicity 1)

[6]
Entry from Alexandria: a geometry-optimized YMgIr structure (PBE).

Summary:
The energy of formation from the pure elements is 0.200 eV per atom. The calculation puts the size of the total moment at 0.00 Bohr magnetons per cell.

a b c (Å): 6.636 6.636 6.636
angles (deg): 90.00 90.00 90.00
Space group F-43m (No. 216)
Unique sites:
Y: 0.000 0.000 0.000 (multiplicity 4)
Mg: 0.250 0.250 0.750 (multiplicity 4)
Ir: 0.250 0.250 0.250 (multiplicity 4)

[7]
Entry from Alexandria: a geometry-optimized Y4MgIr structure (PBE).

Summary:
The energy of formation from the pure elements is -0.338 eV per atom. The calculation puts the size of the total moment at 0.00 Bohr magnetons per cell.

a b c (Å): 9.012 13.060 6.086
angles (deg): 90.00 107.65 90.00
Space group C2/c (No. 15)
Unique sites:
Y: 0.107 0.171 0.050 (multiplicity 8)
Y: 0.223 0.418 0.381 (multiplicity 8)
Mg: 0.000 0.380 0.750 (multiplicity 4)
Ir: 0.000 0.001 0.250 (multiplicity 4)

[8]
Entry from Alexandria: a geometry-optimized YMg2Ir structure (PBE).

Summary:
The energy of formation from the pure elements is -0.189 eV per atom. The calculation puts the size of the total moment at 0.00 Bohr magnetons per cell.

a b c (Å): 3.249 3.249 7.853
angles (deg): 90.00 90.00 90.00
Space group P4/mmm (No. 123)
Unique sites:
Y: 0.000 0.000 0.000 (multiplicity 1)
Mg: 0.500 0.500 0.316 (multiplicity 2)
Ir: 0.000 0.000 0.500 (multiplicity 1)

[9]
Entry from Alexandria: a geometry-optimized YMg3Ir structure (PBE).

Summary:
The energy of formation from the pure elements is -0.041 eV per atom. The calculation puts the size of the total moment at 0.42 Bohr magnetons per cell.

a b c (Å): 4.957 4.957 4.957
angles (deg): 90.00 90.00 90.00
Space group Pm-3m (No. 221)
Unique sites:
Y: 0.000 0.000 0.000 (multiplicity 1)
Mg: 0.000 0.500 0.500 (multiplicity 3)
Ir: 0.500 0.500 0.500 (multiplicity 1)

[10]
Entry from Alexandria: a geometry-optimized YMgIr2 structure (PBE).

Summary:
The energy of formation from the pure elements is -0.528 eV per atom. The calculation puts the size of the total moment at 0.00 Bohr magnetons per cell.

a b c (Å): 3.316 3.326 6.445
angles (deg): 90.00 90.07 90.00
Space group P2/m (No. 10)
Unique sites:
Y: 0.000 0.000 0.000 (multiplicity 1)
Mg: 0.000 0.000 0.500 (multiplicity 1)
Ir: 0.500 0.500 0.273 (multiplicity 2)

[11]
Entry from Alexandria: a geometry-optimized YMgIr2 structure (PBE).

Summary:
The energy of formation from the pure elements is -0.185 eV per atom. The calculation puts the size of the total moment at 0.00 Bohr magnetons per cell.

a b c (Å): 4.650 3.177 5.227
angles (deg): 90.00 110.42 90.00
Space group P2/m (No. 10)
Unique sites:
Y: 0.000 0.000 0.000 (multiplicity 1)
Mg: 0.000 0.500 0.500 (multiplicity 1)
Ir: 0.500 0.000 0.500 (multiplicity 1)
Ir: 0.500 0.500 0.000 (multiplicity 1)

[12]
Entry from Alexandria: a geometry-optimized Y4Mg3Ir structure (PBE).

Summary:
The energy of formation from the pure elements is -0.294 eV per atom. The calculation puts the size of the total moment at 0.00 Bohr magnetons per cell.

a b c (Å): 3.604 3.604 15.780
angles (deg): 90.00 90.00 90.00
Space group P4/mmm (No. 123)
Unique sites:
Y: 0.000 0.000 0.101 (multiplicity 2)
Y: 0.000 0.000 0.371 (multiplicity 2)
Mg: 0.500 0.500 0.240 (multiplicity 2)
Mg: 0.500 0.500 0.500 (multiplicity 1)
Ir: 0.500 0.500 0.000 (multiplicity 1)

[13]
Entry from Alexandria: a geometry-optimized YMgIr2 structure (PBE).

Summary:
The energy of formation from the pure elements is -0.147 eV per atom. The calculation puts the size of the total moment at 0.68 Bohr magnetons per cell.

a b c (Å): 6.612 6.612 6.612
angles (deg): 90.00 90.00 90.00
Space group F-43m (No. 216)
Unique sites:
Y: 0.000 0.000 0.000 (multiplicity 4)
Mg: 0.250 0.250 0.750 (multiplicity 4)
Ir: 0.000 0.000 0.500 (multiplicity 4)
Ir: 0.250 0.250 0.250 (multiplicity 4)

[14]
Entry from Alexandria: a geometry-optimized YMg2Ir structure (PBE).

Summary:
The energy of formation from the pure elements is -0.041 eV per atom. The calculation puts the size of the total moment at 0.00 Bohr magnetons per cell.

a b c (Å): 5.676 8.920 3.221
angles (deg): 90.00 90.00 90.00
Space group Cmmm (No. 65)
Unique sites:
Y: 0.000 0.000 0.000 (multiplicity 2)
Mg: 0.250 0.250 0.500 (multiplicity 4)
Ir: 0.000 0.500 0.000 (multiplicity 2)

[15]
Entry from Alexandria: a geometry-optimized YMgIr2 structure (PBE).

Summary:
The energy of formation from the pure elements is -0.266 eV per atom. The calculation puts the size of the total moment at 0.00 Bohr magnetons per cell.

a b c (Å): 8.953 3.234 5.312
angles (deg): 90.00 105.22 90.00
Space group C2/m (No. 12)
Unique sites:
Y: 0.000 0.000 0.000 (multiplicity 2)
Mg: 0.000 0.500 0.500 (multiplicity 2)
Ir: 0.244 0.000 0.701 (multiplicity 4)

[16]
Entry from Alexandria: a geometry-optimized YMg2Ir structure (PBE).

Summary:
The energy of formation from the pure elements is 0.027 eV per atom. The calculation puts the size of the total moment at 0.00 Bohr magnetons per cell.

a b c (Å): 3.1407 3.1407 29.4934
angles (deg): 90.00 90.00 120.00
Space group R-3m (No. 166, hexagonal axes)
Unique sites:
Y: 0.0000 0.0000 0.0000 (multiplicity 3)
Mg: 0.0000 0.0000 0.2338 (multiplicity 6)
Ir: 0.0000 0.0000 0.5000 (multiplicity 3)

[17]
Entry from Alexandria: a geometry-optimized YMg2Ir structure (PBE).

Summary:
The energy of formation from the pure elements is -0.213 eV per atom. The calculation puts the size of the total moment at 0.00 Bohr magnetons per cell.

a b c (Å): 6.759 6.759 6.759
angles (deg): 90.00 90.00 90.00
Space group Fm-3m (No. 225)
Unique sites:
Y: 0.000 0.000 0.000 (multiplicity 4)
Mg: 0.250 0.250 0.250 (multiplicity 8)
Ir: 0.000 0.000 0.500 (multiplicity 4)

[18]
Entry from Alexandria: a geometry-optimized YMgIr structure (PBE).

Summary:
The energy of formation from the pure elements is -0.411 eV per atom. The calculation puts the size of the total moment at 0.00 Bohr magnetons per cell.

a b c (Å): 4.5800 4.5800 3.4035
angles (deg): 90.00 90.00 120.00
Space group P3m1 (No. 156)
Unique sites:
Y: 0.0000 0.0000 0.0000 (multiplicity 1)
Mg: 0.3333 0.6667 0.5015 (multiplicity 1)
Ir: 0.6667 0.3333 0.4973 (multiplicity 1)

[19]
Entry from Alexandria: a geometry-optimized Y3Mg7Ir4 structure (PBE).

Summary:
The energy of formation from the pure elements is -0.462 eV per atom. The calculation puts the size of the total moment at 0.00 Bohr magnetons per cell.

a b c (Å): 16.039 4.177 10.460
angles (deg): 90.00 124.41 90.00
Space group C2/m (No. 12)
Unique sites:
Y: 0.000 0.000 0.000 (multiplicity 2)
Y: 0.201 0.500 0.721 (multiplicity 4)
Mg: 0.000 0.000 0.500 (multiplicity 2)
Mg: 0.012 0.500 0.288 (multiplicity 4)
Mg: 0.171 0.000 0.430 (multiplicity 4)
Mg: 0.179 0.500 0.011 (multiplicity 4)
Ir: 0.110 0.000 0.809 (multiplicity 4)
Ir: 0.163 0.500 0.255 (multiplicity 4)

[20]
Entry from Alexandria: a geometry-optimized YMgIr2 structure (PBE).

Summary:
The energy of formation from the pure elements is -0.126 eV per atom. The calculation puts the size of the total moment at 0.00 Bohr magnetons per cell.

a b c (Å): 3.1556 3.1556 25.5440
angles (deg): 90.00 90.00 120.00
Space group R-3m (No. 166, hexagonal axes)
Unique sites:
Y: 0.0000 0.0000 0.0000 (multiplicity 3)
Mg: 0.0000 0.0000 0.5000 (multiplicity 3)
Ir: 0.0000 0.0000 0.2476 (multiplicity 6)

[21]
Entry from Alexandria: a geometry-optimized YMg8Ir2 structure (PBE).

Summary:
The energy of formation from the pure elements is -0.109 eV per atom. The calculation puts the size of the total moment at 0.00 Bohr magnetons per cell.

a b c (Å): 8.175 12.102 5.163
angles (deg): 90.00 102.68 90.00
Space group C2/m (No. 12)
Unique sites:
Y: 0.000 0.000 0.000 (multiplicity 2)
Mg: 0.000 0.270 0.000 (multiplicity 4)
Mg: 0.088 0.500 0.769 (multiplicity 4)
Mg: 0.199 0.133 0.576 (multiplicity 8)
Ir: 0.000 0.310 0.500 (multiplicity 4)

[22]
Entry from Alexandria: a geometry-optimized Mg6ZnIr2 structure (PBE).

Summary:
The energy of formation from the pure elements is -0.241 eV per atom. The calculation puts the size of the total moment at 0.00 Bohr magnetons per cell.

a b c (Å): 4.5770 4.5770 8.5325
angles (deg): 90.00 90.00 120.00
Space group P-3m1 (No. 164)
Unique sites:
Mg: 0.0000 0.0000 0.1939 (multiplicity 2)
Mg: 0.3333 0.6667 0.0638 (multiplicity 2)
Mg: 0.3333 0.6667 0.4025 (multiplicity 2)
Zn: 0.0000 0.0000 0.5000 (multiplicity 1)
Ir: 0.3333 0.6667 0.7402 (multiplicity 2)

[23]
Entry from Alexandria: a geometry-optimized MgZn2Ir structure (PBE).

Summary:
The energy of formation from the pure elements is -0.309 eV per atom. The calculation puts the size of the total moment at 0.00 Bohr magnetons per cell.

a b c (Å): 3.813 3.813 8.126
angles (deg): 90.00 90.00 90.00
Space group I4/mmm (No. 139)
Unique sites:
Mg: 0.000 0.000 0.000 (multiplicity 2)
Zn: 0.000 0.500 0.250 (multiplicity 4)
Ir: 0.000 0.000 0.500 (multiplicity 2)

[24]
Entry from Alexandria: a geometry-optimized Mg2Zn2Ir structure (PBE).

Summary:
The energy of formation from the pure elements is -0.089 eV per atom. The calculation puts the size of the total moment at 0.00 Bohr magnetons per cell.

a b c (Å): 6.513 6.513 4.051
angles (deg): 90.00 90.00 90.00
Space group P4/mbm (No. 127)
Unique sites:
Mg: 0.180 0.320 0.000 (multiplicity 4)
Zn: 0.134 0.634 0.500 (multiplicity 4)
Ir: 0.000 0.000 0.500 (multiplicity 2)

[25]
Entry from Alexandria: a geometry-optimized MgZn2Ir structure (PBE).

Summary:
The energy of formation from the pure elements is -0.188 eV per atom. The calculation puts the size of the total moment at 0.00 Bohr magnetons per cell.

a b c (Å): 2.961 3.757 5.506
angles (deg): 90.00 90.72 90.00
Space group Pm (No. 6)
Unique sites:
Mg: 0.000 0.000 0.000 (multiplicity 1)
Zn: 0.004 0.000 0.472 (multiplicity 1)
Zn: 0.499 0.500 0.724 (multiplicity 1)
Ir: 0.503 0.500 0.240 (multiplicity 1)

[26]
Entry from Alexandria: a geometry-optimized MgZn2Ir structure (PBE).

Summary:
The energy of formation from the pure elements is -0.152 eV per atom. The calculation puts the size of the total moment at 0.00 Bohr magnetons per cell.

a b c (Å): 2.864 4.379 5.043
angles (deg): 90.00 100.51 90.00
Space group P2/m (No. 10)
Unique sites:
Mg: 0.000 0.000 0.000 (multiplicity 1)
Zn: 0.294 0.500 0.732 (multiplicity 2)
Ir: 0.500 0.000 0.500 (multiplicity 1)

[27]
Entry from Alexandria: a geometry-optimized MgZnIr4 structure (PBE).

Summary:
The energy of formation from the pure elements is 0.063 eV per atom. The calculation puts the size of the total moment at 0.00 Bohr magnetons per cell.

a b c (Å): 7.344 7.344 7.344
angles (deg): 90.00 90.00 90.00
Space group F-43m (No. 216)
Unique sites:
Mg: 0.000 0.000 0.000 (multiplicity 4)
Zn: 0.250 0.250 0.750 (multiplicity 4)
Ir: 0.125 0.125 0.375 (multiplicity 16)